DFT (PBE) results for a relaxed structure of NaTlIn2Cl4.

```
8
Lattice="4.425 0.000 0.000 0.000 7.750 -0.181 0.000 2.689 7.233" Properties=species:S:1:pos:R:3 pbc="T T T"
In 0.000 2.689 7.233
In 2.212 1.345 3.617
Cl 2.212 4.049 5.218
Cl 4.425 2.763 1.891
Cl 2.213 6.390 1.834
Cl 0.000 7.676 5.161
Tl 2.212 3.875 -0.090
Na 0.000 5.219 3.526
```

## Properties
The calculation puts the magnetic moment at 0.0 Bohr magnetons per cell. As for the symmetry: P2/m, No. 10. As for the mass density: 3.97 Mg/m³. As for the uncorrected formation energy: -1078 meV/atom. For the electronic total energy, the calculation gives -25.17 eV/cell.